Mn2FeSe PBE-GGA relaxed; raw formation energy = 0.318 eV/atom
1.0
4.2219 -1.4187 0.0000
4.2219 1.4187 0.0000
-0.6127 0.0000 4.1226
Mn Fe Se
2 1 1
direct
0.2429 0.2429 0.2284
0.7571 0.7571 0.7716
0.5000 0.5000 0.0000
0.0000 0.0000 0.5000